Entry 1:
Below is a relaxed Na3AsPd4 crystal, with properties calculated at the PBE-GGA level.

The structure in POSCAR format:
```
Na3AsPd4
1.0
-0.828 -2.689 5.322
-2.542 -1.921 -5.107
5.819 -0.774 -1.332
Pd Na As
4 3 1
Direct
0.148 0.811 0.959
0.148 0.189 0.337
0.641 0.246 0.395
0.150 0.754 0.395
0.551 0.689 0.240
0.551 0.311 0.862
0.805 0.000 0.805
0.158 0.500 0.658
```

Values from the calculation:
- ΔE_f (meV/atom) = -235
- spin magnetization (μB/atom) = 0.00
- SG = Imm2, No. 44

=====

Entry 2:
Below is a relaxed NaAsPd2 crystal, with properties calculated at the PBE-GGA level.

The structure in POSCAR format:
```
NaAsPd2
1.0
7.450 0.000 0.000
0.000 7.450 0.000
3.725 3.725 2.891
As Pd Na
2 4 2
Direct
0.000 0.000 0.000
0.750 0.250 0.500
0.695 0.125 0.250
0.055 0.625 0.250
0.375 0.305 0.750
0.875 0.945 0.750
0.500 0.500 0.000
0.250 0.750 0.500
```

Values from the calculation:
- ΔE_f (meV/atom) = -152
- spin magnetization (μB/atom) = 0.00
- SG = I-42d, No. 122

=====

Entry 3:
Below is a relaxed Na3As2Pd4 crystal, with properties calculated at the PBE-GGA level.

The structure in POSCAR format:
```
Na3As2Pd4
1.0
-2.784 -0.098 -3.217
3.192 -4.810 0.198
-6.363 -1.496 5.554
Na Pd As
3 4 2
Direct
0.000 0.000 0.000
0.379 0.758 0.618
0.621 0.242 0.382
0.719 0.438 0.078
0.095 0.190 0.640
0.905 0.810 0.360
0.281 0.562 0.922
0.685 0.369 0.775
0.315 0.631 0.225
```

Values from the calculation:
- ΔE_f (meV/atom) = -349
- spin magnetization (μB/atom) = 0.00
- SG = C2/m, No. 12

=====

Entry 4:
Below is a relaxed NaAs2Pd6 crystal, with properties calculated at the PBE-GGA level.

The structure in POSCAR format:
```
NaAs2Pd6
1.0
4.191 0.000 0.000
0.000 4.191 0.000
0.000 0.000 8.888
Pd As Na
6 2 1
Direct
0.500 0.500 0.500
0.500 0.000 0.288
0.000 0.500 0.712
0.000 0.500 0.288
0.500 0.000 0.712
0.000 0.000 0.500
0.500 0.500 0.855
0.500 0.500 0.145
0.000 0.000 0.000
```

Values from the calculation:
- ΔE_f (meV/atom) = -296
- spin magnetization (μB/atom) = 0.00
- SG = P4/mmm, No. 123

=====

Entry 5:
Below is a relaxed NaAsPd2 crystal, with properties calculated at the PBE-GGA level.

The structure in POSCAR format:
```
NaAsPd2
1.0
4.129 -0.001 0.000
-2.066 5.105 0.000
0.000 0.000 7.106
As Pd Na
2 4 2
Direct
0.785 0.570 0.750
0.215 0.430 0.250
0.659 0.318 0.448
0.659 0.318 0.052
0.341 0.682 0.552
0.341 0.682 0.948
0.938 0.874 0.250
0.062 0.126 0.750
```

Values from the calculation:
- ΔE_f (meV/atom) = -386
- spin magnetization (μB/atom) = 0.00
- SG = Cmcm, No. 63

=====

Entry 6:
Below is a relaxed NaAs3Pd crystal, with properties calculated at the PBE-GGA level.

The structure in POSCAR format:
```
NaAs3Pd
1.0
4.983 0.000 0.000
0.000 4.983 0.000
0.000 0.000 4.983
As Na Pd
3 1 1
Direct
0.000 0.000 0.500
0.500 0.000 0.000
0.000 0.500 0.000
0.500 0.500 0.500
0.000 0.000 0.000
```

Values from the calculation:
- ΔE_f (meV/atom) = 270
- spin magnetization (μB/atom) = 0.00
- polymorph energy (0 for the lowest one) (meV/atom) = 0
- SG = Pm-3m, No. 221

=====

Entry 7:
Below is a relaxed Na3As2Pd crystal, with properties calculated at the PBE-GGA level.

The structure in POSCAR format:
```
Na3As2Pd
1.0
-0.965 3.803 4.038
-5.998 -1.103 -0.394
4.161 -7.006 3.667
Na Pd As
6 2 4
Direct
0.542 0.689 0.378
0.836 0.189 0.378
0.500 0.250 0.000
0.500 0.750 0.000
0.164 0.811 0.622
0.458 0.311 0.622
0.000 0.250 0.000
0.000 0.750 0.000
0.001 0.621 0.242
0.759 0.879 0.758
0.241 0.121 0.242
0.999 0.379 0.758
```

Values from the calculation:
- ΔE_f (meV/atom) = -347
- spin magnetization (μB/atom) = 0.00
- SG = Ibam, No. 72

=====

Entry 8:
Below is a relaxed Na2AsPd crystal, with properties calculated at the PBE-GGA level.

The structure in POSCAR format:
```
Na2AsPd
1.0
11.163 0.000 0.000
0.000 11.163 0.000
5.581 5.581 2.311
Na Pd As
4 2 2
Direct
0.375 0.127 0.750
0.877 0.625 0.250
0.873 0.125 0.250
0.875 0.123 0.750
0.750 0.250 0.500
0.000 0.000 0.000
0.250 0.750 0.500
0.500 0.500 0.000
```

Values from the calculation:
- ΔE_f (meV/atom) = -242
- spin magnetization (μB/atom) = 0.00
- SG = I-42d, No. 122

=====

Number 5 is which compound? NaAsPd2